Entry 1:
Entry from Alexandria via LeMat-Bulk: a relaxed structure of SrYPb (PBEsol).

Structure (CIF):
```
data_SrYPb
_chemical_formula_sum 'Sr4 Y4 Pb4'
_cell_length_a 7.546
_cell_length_b 7.546
_cell_length_c 7.546
_cell_angle_alpha 90.00
_cell_angle_beta 90.00
_cell_angle_gamma 90.00
_symmetry_space_group_name_H-M 'F -4 3 m'
_symmetry_Int_Tables_number 216
_symmetry_space_group_name_Hall 'F -4 2 3'
loop_
_atom_site_label
_atom_site_fract_x
_atom_site_fract_y
_atom_site_fract_z
Sr1 0.000 0.000 0.000
Y1 0.000 0.000 0.500
Pb1 0.250 0.250 0.250
```

Volume = 430 Å³ per cell
Formation enthalpy at 0 K = -285 meV/atom
Calculated total energy = -4.505 eV per atom
Magnetization = 0.00 μB/f.u.
ρ = 5931 kg/m³


Entry 2:
Entry from Alexandria via LeMat-Bulk: a relaxed structure of FeGe3H (PBEsol).

Structure (CIF):
```
data_FeGe3H
_chemical_formula_sum 'Fe1 Ge3 H1'
_cell_length_a 4.410
_cell_length_b 4.410
_cell_length_c 4.410
_cell_angle_alpha 90.00
_cell_angle_beta 90.00
_cell_angle_gamma 90.00
_symmetry_space_group_name_H-M 'P m -3 m'
_symmetry_Int_Tables_number 221
_symmetry_space_group_name_Hall '-P 4 2 3'
loop_
_atom_site_label
_atom_site_fract_x
_atom_site_fract_y
_atom_site_fract_z
Fe1 0.000 0.000 0.000
Ge1 0.000 0.000 0.500
H1 0.500 0.500 0.500
```

Volume = 86 Å³ per cell
Calculated total energy = -4.996 eV per atom
Magnetization = 1.04 μB/f.u.
ρ = 5318 kg/m³


Entry 3:
Entry from Alexandria via LeMat-Bulk: a relaxed structure of MgTaIr2 (PBEsol).

Structure (CIF):
```
data_MgTaIr2
_chemical_formula_sum 'Mg4 Ta4 Ir8'
_cell_length_a 6.260
_cell_length_b 6.260
_cell_length_c 6.260
_cell_angle_alpha 90.00
_cell_angle_beta 90.00
_cell_angle_gamma 90.00
_symmetry_space_group_name_H-M 'F m -3 m'
_symmetry_Int_Tables_number 225
_symmetry_space_group_name_Hall '-F 4 2 3'
loop_
_atom_site_label
_atom_site_fract_x
_atom_site_fract_y
_atom_site_fract_z
Mg1 0.000 0.000 0.000
Ta1 0.000 0.000 0.500
Ir1 0.250 0.250 0.250
```

E above lowest polymorph = 0.068 eV/atom
Volume = 245 Å³ per cell
Formation enthalpy at 0 K = -502 meV/atom
Calculated total energy = -8.981 eV per atom
Magnetization = 0.00 μB/f.u.
ρ = 15970 kg/m³


Entry 4:
Entry from Alexandria via LeMat-Bulk: a relaxed structure of CrRhW2 (PBEsol).

Structure (CIF):
```
data_CrRhW2
_chemical_formula_sum 'Cr1 Rh1 W2'
_cell_length_a 3.861
_cell_length_b 3.861
_cell_length_c 3.790
_cell_angle_alpha 90.00
_cell_angle_beta 90.00
_cell_angle_gamma 90.00
_symmetry_space_group_name_H-M 'P 4/m m m'
_symmetry_Int_Tables_number 123
_symmetry_space_group_name_Hall '-P 4 2'
loop_
_atom_site_label
_atom_site_fract_x
_atom_site_fract_y
_atom_site_fract_z
Cr1 0.000 0.000 0.000
Rh1 0.500 0.500 0.000
W1 0.000 0.500 0.500
```

E above lowest polymorph = 0.047 eV/atom
Volume = 56 Å³ per cell
Formation enthalpy at 0 K = 155 meV/atom
Calculated total energy = -11.344 eV per atom
Magnetization = 0.00 μB/f.u.
ρ = 15361 kg/m³


Entry 5:
Entry from Alexandria via LeMat-Bulk: a relaxed structure of BeHgPb3 (PBEsol).

Structure (CIF):
```
data_BeHgPb3
_chemical_formula_sum 'Be1 Hg1 Pb3'
_cell_length_a 5.060
_cell_length_b 5.060
_cell_length_c 5.060
_cell_angle_alpha 90.00
_cell_angle_beta 90.00
_cell_angle_gamma 90.00
_symmetry_space_group_name_H-M 'P m -3 m'
_symmetry_Int_Tables_number 221
_symmetry_space_group_name_Hall '-P 4 2 3'
loop_
_atom_site_label
_atom_site_fract_x
_atom_site_fract_y
_atom_site_fract_z
Be1 0.000 0.000 0.000
Hg1 0.500 0.500 0.500
Pb1 0.000 0.000 0.500
```

Volume = 130 Å³ per cell
Formation enthalpy at 0 K = 333 meV/atom
Calculated total energy = -2.979 eV per atom
Magnetization = 0.00 μB/f.u.
ρ = 10653 kg/m³


Entry 6:
Entry from Alexandria via LeMat-Bulk: a relaxed structure of IF7 (PBEsol).

Structure (CIF):
```
data_IF7
_chemical_formula_sum 'I4 F28'
_cell_length_a 8.948
_cell_length_b 8.925
_cell_length_c 6.165
_cell_angle_alpha 90.00
_cell_angle_beta 90.00
_cell_angle_gamma 90.00
_symmetry_space_group_name_H-M 'A e a 2'
_symmetry_Int_Tables_number 41
loop_
_symmetry_equiv_pos_as_xyz
'x,y,z'
'-x,-y,z'
'-x+1/2,y+1/2,z'
'x+1/2,-y+1/2,z'
'x,y+1/2,z+1/2'
'-x,-y+1/2,z+1/2'
'-x+1/2,y,z+1/2'
'x+1/2,-y,z+1/2'
loop_
_atom_site_label
_atom_site_fract_x
_atom_site_fract_y
_atom_site_fract_z
I1 0.000 0.000 0.000
F1 0.000 0.000 0.306
F2 0.092 0.084 0.753
F3 0.108 0.170 0.091
F4 0.165 0.378 0.505
```

E above lowest polymorph = 0.000 eV/atom
Formation energy (no corrections) = -31.96 kcal/mol of atoms
Volume = 492 Å³ per cell
Calculated total energy = -3.293 eV per atom
Magnetization = 0.00 μB/f.u.
ρ = 3506 kg/m³


Entry 7:
Entry from Alexandria via LeMat-Bulk: a relaxed structure of LaMoSeCl2 (PBEsol).

Structure (CIF):
```
data_LaMoSeCl2
_chemical_formula_sum 'La1 Mo1 Se1 Cl2'
_cell_length_a 5.274
_cell_length_b 5.274
_cell_length_c 4.664
_cell_angle_alpha 90.00
_cell_angle_beta 90.00
_cell_angle_gamma 90.00
_symmetry_space_group_name_H-M 'P 4/m m m'
_symmetry_Int_Tables_number 123
_symmetry_space_group_name_Hall '-P 4 2'
loop_
_atom_site_label
_atom_site_fract_x
_atom_site_fract_y
_atom_site_fract_z
La1 0.000 0.000 0.000
Mo1 0.500 0.500 0.000
Se1 0.500 0.500 0.500
Cl1 0.000 0.500 0.500
```

Formation energy (no corrections) = 5.32 kcal/mol of atoms
Volume = 130 Å³ per cell
Calculated total energy = -4.765 eV per atom
Magnetization = 1.72 μB/f.u.
ρ = 4924 kg/m³


Entry 8:
Entry from Alexandria via LeMat-Bulk: a relaxed structure of BaCdI2O (PBEsol).

Structure (CIF):
```
data_BaCdI2O
_chemical_formula_sum 'Ba1 Cd1 I2 O1'
_cell_length_a 5.974
_cell_length_b 5.974
_cell_length_c 4.169
_cell_angle_alpha 90.00
_cell_angle_beta 90.00
_cell_angle_gamma 90.00
_symmetry_space_group_name_H-M 'P 4/m m m'
_symmetry_Int_Tables_number 123
_symmetry_space_group_name_Hall '-P 4 2'
loop_
_atom_site_label
_atom_site_fract_x
_atom_site_fract_y
_atom_site_fract_z
Ba1 0.000 0.000 0.000
Cd1 0.500 0.500 0.500
I1 0.000 0.500 0.500
O1 0.500 0.500 0.000
```

Formation energy (no corrections) = -23.98 kcal/mol of atoms
Volume = 149 Å³ per cell
Calculated total energy = -3.466 eV per atom
Magnetization = 0.01 μB/f.u.
ρ = 5799 kg/m³


Entry 9:
Entry from Alexandria via LeMat-Bulk: a relaxed structure of La3Re2 (PBEsol).

Structure (CIF):
```
data_La3Re2
_chemical_formula_sum 'La6 Re4'
_cell_length_a 3.382
_cell_length_b 3.382
_cell_length_c 21.651
_cell_angle_alpha 90.00
_cell_angle_beta 90.00
_cell_angle_gamma 90.00
_symmetry_space_group_name_H-M 'I 4/m m m'
_symmetry_Int_Tables_number 139
_symmetry_space_group_name_Hall '-I 4 2'
loop_
_atom_site_label
_atom_site_fract_x
_atom_site_fract_y
_atom_site_fract_z
La1 0.000 0.000 0.000
La2 0.000 0.000 0.171
Re1 0.000 0.000 0.409
```

E above lowest polymorph = 0.000 eV/atom
Volume = 248 Å³ per cell
Formation enthalpy at 0 K = 466 meV/atom
Calculated total energy = -8.075 eV per atom
Magnetization = 0.00 μB/f.u.
ρ = 10582 kg/m³


Entry 10:
Entry from Alexandria via LeMat-Bulk: a relaxed structure of TlTe2Pb (PBEsol).

Structure (CIF):
```
data_TlTe2Pb
_chemical_formula_sum 'Tl1 Te2 Pb1'
_cell_length_a 4.490
_cell_length_b 4.490
_cell_length_c 6.397
_cell_angle_alpha 90.00
_cell_angle_beta 90.00
_cell_angle_gamma 90.00
_symmetry_space_group_name_H-M 'P 4/m m m'
_symmetry_Int_Tables_number 123
_symmetry_space_group_name_Hall '-P 4 2'
loop_
_atom_site_label
_atom_site_fract_x
_atom_site_fract_y
_atom_site_fract_z
Tl1 0.000 0.000 0.000
Te1 0.000 0.000 0.500
Te2 0.500 0.500 0.000
Pb1 0.500 0.500 0.500
```

Formation energy (no corrections) = -5.53 kcal/mol of atoms
Volume = 129 Å³ per cell
Calculated total energy = -3.660 eV per atom
Magnetization = 0.00 μB/f.u.
ρ = 8584 kg/m³


Entry 11:
Entry from Alexandria via LeMat-Bulk: a relaxed structure of SnBP2S (PBEsol).

Structure (CIF):
```
data_SnBP2S
_chemical_formula_sum 'Sn1 B1 P2 S1'
_cell_length_a 4.972
_cell_length_b 4.972
_cell_length_c 4.942
_cell_angle_alpha 90.00
_cell_angle_beta 90.00
_cell_angle_gamma 90.00
_symmetry_space_group_name_H-M 'P 4/m m m'
_symmetry_Int_Tables_number 123
_symmetry_space_group_name_Hall '-P 4 2'
loop_
_atom_site_label
_atom_site_fract_x
_atom_site_fract_y
_atom_site_fract_z
Sn1 0.000 0.000 0.000
B1 0.500 0.500 0.500
P1 0.000 0.500 0.000
S1 0.000 0.000 0.500
```

Formation energy (no corrections) = 42.50 kcal/mol of atoms
Volume = 122 Å³ per cell
Calculated total energy = -3.606 eV per atom
Magnetization = 0.57 μB/f.u.
ρ = 3039 kg/m³


Entry 12:
Entry from Alexandria via LeMat-Bulk: a relaxed structure of HgBiMo3 (PBEsol).

Structure (CIF):
```
data_HgBiMo3
_chemical_formula_sum 'Hg1 Bi1 Mo3'
_cell_length_a 4.957
_cell_length_b 4.957
_cell_length_c 4.957
_cell_angle_alpha 90.00
_cell_angle_beta 90.00
_cell_angle_gamma 90.00
_symmetry_space_group_name_H-M 'P m -3 m'
_symmetry_Int_Tables_number 221
_symmetry_space_group_name_Hall '-P 4 2 3'
loop_
_atom_site_label
_atom_site_fract_x
_atom_site_fract_y
_atom_site_fract_z
Hg1 0.000 0.000 0.000
Bi1 0.500 0.500 0.500
Mo1 0.000 0.500 0.500
```

Volume = 122 Å³ per cell
Formation enthalpy at 0 K = 2497 meV/atom
Calculated total energy = -5.534 eV per atom
Magnetization = 0.00 μB/f.u.
ρ = 9507 kg/m³